(1)
Below is an optimized crystal structure of TbAl8Ga6, with properties calculated at the PBE level.

Summary:
- ΔE_f (meV/atom) = -12
- D(E_F) (states/eV per cell) = 5.8
- space-group type = R-3, No. 148

Cell and atoms, written as extended XYZ:
```
15
Lattice="3.4055 1.9662 7.1121 -3.4055 1.9662 7.1121 0.0000 -3.9323 7.1121" Properties=species:S:1:pos:R:3 pbc="T T T"
Tb 0.0000 0.0000 0.0000
Al -2.3404 -0.6350 11.4254
Al -0.6203 -2.3444 9.9109
Al -1.7202 1.7094 9.9109
Al 0.0000 0.0000 7.7315
Al 0.0000 0.0000 13.6047
Al 1.7202 -1.7094 11.4254
Al 0.6203 2.3444 11.4254
Al 2.3404 0.6350 9.9109
Ga -2.3877 -0.6193 8.7006
Ga -0.6575 -2.3774 12.6357
Ga -1.7301 1.7581 12.6357
Ga 1.7301 -1.7581 8.7006
Ga 0.6575 2.3774 8.7006
Ga 2.3876 0.6193 12.6357
```

(2)
Below is an optimized crystal structure of PmNd2TmS4, with properties calculated at the PBE level.

Summary:
- D(E_F) (states/eV per cell) = 4.5
- uncorrected formation energy (eV/atom) = -2.001
- space-group type = P2/m, No. 10

Cell and atoms, written as extended XYZ:
```
8
Lattice="6.9426 0.0000 0.0000 0.0000 3.9511 0.0000 -2.2543 0.0000 6.6311" Properties=species:S:1:pos:R:3 pbc="T T T"
Pm 0.0000 0.0000 0.0000
Nd -1.1272 1.9756 3.3156
Nd 2.3441 0.0000 3.3156
Tm 3.4713 1.9756 0.0000
S 1.2335 1.9756 1.5909
S 0.1077 0.0000 5.0828
S 4.5806 0.0000 1.5483
S 3.4548 1.9756 5.0403
```

(3)
Below is an optimized crystal structure of Tl2ICl, with properties calculated at the PBE level.

Summary:
- D(E_F) (states/eV per cell) = 0.0
- relative energy among the computed polymorphs (kJ/mol of formula units) = 25.6
- uncorrected formation energy (eV/atom) = -0.766
- space-group type = I-42d, No. 122

Cell and atoms, written as extended XYZ:
```
8
Lattice="-3.7886 3.7886 7.4115 3.7886 -3.7886 7.4115 3.7886 3.7886 -7.4115" Properties=species:S:1:pos:R:3 pbc="T T T"
Tl 5.6830 1.6166 -1.8529
Tl 1.6166 1.8943 1.8529
Tl -1.8943 2.1721 5.5586
Tl 2.1721 1.8943 9.2643
I 3.7886 0.0000 3.7057
I 0.0000 0.0000 7.4115
Cl 0.0000 0.0000 0.0000
Cl 0.0000 3.7886 3.7057
```

(4)
Below is an optimized crystal structure of LuHfCdAu, with properties calculated at the PBE level.

Summary:
- ΔE_f (meV/atom) = -301
- D(E_F) (states/eV per cell) = 3.3
- space-group type = F-43m, No. 216

Cell and atoms, written as extended XYZ:
```
4
Lattice="0.0000 3.5152 3.5152 3.5152 0.0000 3.5152 3.5152 3.5152 0.0000" Properties=species:S:1:pos:R:3 pbc="T T T"
Lu 0.0000 0.0000 0.0000
Hf 3.5152 3.5152 3.5152
Cd 1.7576 1.7576 1.7576
Au 5.2728 5.2728 5.2728
```

(5)
Below is an optimized crystal structure of AcY2Pd, with properties calculated at the PBE level.

Summary:
- ΔE_f (meV/atom) = -432
- D(E_F) (states/eV per cell) = 18.1
- relative energy among the computed polymorphs (kJ/mol of formula units) = 0.0
- space-group type = Pnma, No. 62

Cell and atoms, written as extended XYZ:
```
16
Lattice="7.3540 0.0000 0.0000 0.0000 10.0709 0.0000 0.0000 0.0000 6.6678" Properties=species:S:1:pos:R:3 pbc="T T T"
Ac 0.1713 2.5177 0.9559
Ac 3.5057 7.5531 4.2898
Ac 3.8483 2.5177 2.3781
Ac 7.1827 7.5531 5.7120
Y 1.2962 0.6449 4.4641
Y 1.2962 4.3905 4.4641
Y 2.3808 5.6803 1.1302
Y 2.3808 9.4259 1.1302
Y 4.9732 0.6449 5.5376
Y 4.9732 4.3905 5.5376
Y 6.0578 5.6803 2.2037
Y 6.0578 9.4259 2.2037
Pd 0.8413 7.5531 2.7516
Pd 2.8357 2.5177 6.0855
Pd 4.5183 7.5531 0.5823
Pd 6.5127 2.5177 3.9162
```

(6)
Below is an optimized crystal structure of La2VGaSe, with properties calculated at the PBE level.

Summary:
- D(E_F) (states/eV per cell) = 4.2
- uncorrected formation energy (eV/atom) = -0.073
- space-group type = P4/mmm, No. 123

Cell and atoms, written as extended XYZ:
```
5
Lattice="5.7512 0.0000 0.0000 0.0000 5.7512 0.0000 0.0000 0.0000 4.7016" Properties=species:S:1:pos:R:3 pbc="T T T"
La 0.0000 2.8756 0.0000
La 2.8756 0.0000 0.0000
V 0.0000 0.0000 2.3508
Ga 0.0000 0.0000 0.0000
Se 2.8756 2.8756 2.3508
```

(7)
Below is an optimized crystal structure of HoPO4F, with properties calculated at the PBE level.

Summary:
- D(E_F) (states/eV per cell) = 4.7
- uncorrected formation energy (eV/atom) = -2.734
- space-group type = C2/m, No. 12

Cell and atoms, written as extended XYZ:
```
14
Lattice="4.5670 -3.5047 0.0000 4.5670 3.5047 0.0000 -1.8216 0.0000 6.2164" Properties=species:S:1:pos:R:3 pbc="T T T"
Ho 1.6714 0.0000 0.7022
Ho 5.6410 0.0000 5.5142
P 1.9172 0.0000 4.5276
P 5.3952 0.0000 1.6888
O 1.2428 1.2210 5.2124
O 1.6918 0.0000 3.0190
O 3.8839 0.0000 1.4121
O 1.2428 -1.2210 5.2124
O 6.0695 1.2210 1.0040
O 3.4284 0.0000 4.8043
O 5.6206 0.0000 3.1974
O 6.0695 -1.2210 1.0040
F -1.3469 0.0000 5.0645
F 8.6593 0.0000 1.1519
```

(8)
Below is an optimized crystal structure of NaTc2W2, with properties calculated at the PBE level.

Summary:
- ΔE_f (meV/atom) = 468
- D(E_F) (states/eV per cell) = 8.7
- relative energy among the computed polymorphs (kJ/mol of formula units) = 0.0
- space-group type = P4/mbm, No. 127

Cell and atoms, written as extended XYZ:
```
10
Lattice="7.8616 0.0000 0.0000 0.0000 7.8616 0.0000 0.0000 0.0000 2.8094" Properties=species:S:1:pos:R:3 pbc="T T T"
Na 0.0000 0.0000 0.0000
Na 3.9308 3.9308 0.0000
Tc 1.1875 2.7433 1.4047
Tc 2.7433 6.6741 1.4047
Tc 5.1184 1.1875 1.4047
Tc 6.6741 5.1184 1.4047
W 1.1105 5.0413 0.0000
W 2.8204 1.1105 0.0000
W 5.0413 6.7512 0.0000
W 6.7512 2.8204 0.0000
```

(9)
Below is an optimized crystal structure of Pr12In6O, with properties calculated at the PBE level.

Summary:
- D(E_F) (states/eV per cell) = 21.6
- uncorrected formation energy (eV/atom) = -0.491
- space-group type = R-3, No. 148

Cell and atoms, written as extended XYZ:
```
19
Lattice="6.2791 3.6252 4.4697 -6.2791 3.6252 4.4697 0.0000 -7.2504 4.4697" Properties=species:S:1:pos:R:3 pbc="T T T"
Pr -4.1574 -4.0255 7.3244
Pr -5.5649 1.5876 6.0846
Pr -2.0565 -0.3789 5.2058
Pr 1.4076 -5.6131 6.0846
Pr 1.3564 -1.5915 5.2058
Pr -0.7001 -1.9704 8.2032
Pr 0.7001 1.9704 5.2058
Pr -1.3564 1.5915 8.2032
Pr -1.4075 5.6131 7.3244
Pr 2.0565 0.3789 8.2032
Pr 5.5649 -1.5876 7.3244
Pr 4.1574 4.0256 6.0846
In -1.3156 -3.6374 5.5462
In -3.8079 -0.6793 7.8628
In -2.4922 2.9580 5.5462
In 2.4922 -2.9580 7.8628
In 3.8079 0.6793 5.5462
In 1.3156 3.6374 7.8628
O 0.0000 0.0000 6.7045
```

(10)
Below is an optimized crystal structure of Al3Ru, with properties calculated at the PBE level.

Summary:
- ΔE_f (meV/atom) = -323
- D(E_F) (states/eV per cell) = 1.4
- space-group type = Cmmm, No. 65

Cell and atoms, written as extended XYZ:
```
4
Lattice="2.6657 -3.6631 0.0000 2.6657 3.6631 0.0000 0.0000 0.0000 3.0095" Properties=species:S:1:pos:R:3 pbc="T T T"
Al 0.0000 0.0000 0.0000
Al 1.3328 1.8315 1.5048
Al 1.3328 -1.8315 1.5048
Ru 2.6657 0.0000 0.0000
```

(11)
Below is an optimized crystal structure of Ho5CdRu2, with properties calculated at the PBE level.

Summary:
- ΔE_f (meV/atom) = -375
- D(E_F) (states/eV per cell) = 12.8
- space-group type = I4/mcm, No. 140

Cell and atoms, written as extended XYZ:
```
16
Lattice="-3.8787 3.8787 6.6232 3.8787 -3.8787 6.6232 3.8787 3.8787 -6.6232" Properties=species:S:1:pos:R:3 pbc="T T T"
Ho 0.0000 0.0000 0.0000
Ho 5.0934 1.2147 -1.7592
Ho 1.2147 2.6639 -1.7592
Ho 5.0934 1.2147 1.7592
Ho 1.2147 2.6639 1.7592
Ho 0.0000 0.0000 6.6232
Ho 2.6639 1.2147 4.8640
Ho -1.2147 2.6639 4.8640
Ho 2.6639 1.2147 8.3824
Ho -1.2147 2.6639 8.3824
Cd 0.0000 0.0000 3.3116
Cd 0.0000 0.0000 9.9348
Ru 2.7650 1.1137 0.0000
Ru 2.7650 -1.1137 6.6232
Ru 1.1137 4.9924 0.0000
Ru 1.1137 2.7650 6.6232
```

(12)
Below is an optimized crystal structure of CaGeN2, with properties calculated at the PBE level.

Summary:
- D(E_F) (states/eV per cell) = 0.0
- uncorrected formation energy (eV/atom) = -0.172
- space-group type = R-3m, No. 166

Cell and atoms, written as extended XYZ:
```
4
Lattice="1.8931 1.0930 5.8132 -1.8931 1.0930 5.8132 0.0000 -2.1860 5.8132" Properties=species:S:1:pos:R:3 pbc="T T T"
Ca 0.0000 0.0000 0.0000
Ge 0.0000 0.0000 8.7198
N 0.0000 0.0000 7.0253
N 0.0000 0.0000 10.4144
```

(13)
Below is an optimized crystal structure of YGa2Ni4, with properties calculated at the PBE level.

Summary:
- ΔE_f (meV/atom) = 104
- D(E_F) (states/eV per cell) = 5.3
- relative energy among the computed polymorphs (kJ/mol of formula units) = 375.0
- space-group type = I4/mmm, No. 139

Cell and atoms, written as extended XYZ:
```
7
Lattice="-3.4882 3.4882 2.6302 3.4882 -3.4882 2.6302 3.4882 3.4882 -2.6302" Properties=species:S:1:pos:R:3 pbc="T T T"
Y 0.0000 0.0000 0.0000
Ga 3.4882 0.0000 1.3151
Ga 0.0000 3.4882 1.3151
Ni 3.4882 1.9131 0.0000
Ni 1.9131 3.4882 0.0000
Ni 1.5751 0.0000 2.6302
Ni 0.0000 1.5751 2.6302
```

(14)
Below is an optimized crystal structure of Pm3Ho5In2, with properties calculated at the PBE level.

Summary:
- ΔE_f (meV/atom) = 55
- D(E_F) (states/eV per cell) = 26.4
- space-group type = Ibam, No. 72

Cell and atoms, written as extended XYZ:
```
20
Lattice="-6.4080 7.8059 3.2000 6.4080 -7.8059 3.2000 6.4080 7.8059 -3.2000" Properties=species:S:1:pos:R:3 pbc="T T T"
Pm 1.4844 3.7136 0.0000
Pm 0.0000 0.0000 1.6000
Pm 7.8924 4.0923 0.0000
Pm -1.4844 3.7136 3.2000
Pm 0.0000 0.0000 4.8000
Pm 4.9236 4.0923 3.2000
Ho 4.8213 2.5441 0.0000
Ho 3.2392 0.0000 1.6000
Ho 6.4080 0.0000 1.6000
Ho 9.5768 0.0000 1.6000
Ho 4.8213 -2.5441 3.2000
Ho 1.5867 10.3500 0.0000
Ho -3.1688 7.8059 1.6000
Ho 0.0000 7.8059 1.6000
Ho 3.1688 7.8059 1.6000
Ho 1.5867 5.2618 3.2000
In 4.6481 -5.5077 3.2000
In 4.6481 5.5077 0.0000
In 1.7599 2.2982 3.2000
In 1.7599 13.3137 0.0000
```

(15)
Below is an optimized crystal structure of Si2Te, with properties calculated at the PBE level.

Summary:
- D(E_F) (states/eV per cell) = 1.4
- relative energy among the computed polymorphs (kJ/mol of formula units) = 95.7
- uncorrected formation energy (eV/atom) = 0.354
- space-group type = I4/mmm, No. 139

Cell and atoms, written as extended XYZ:
```
3
Lattice="-1.6896 1.6896 6.0830 1.6896 -1.6896 6.0830 1.6896 1.6896 -6.0830" Properties=species:S:1:pos:R:3 pbc="T T T"
Si 0.0000 0.0000 2.7626
Si 0.0000 0.0000 9.4033
Te 0.0000 0.0000 0.0000
```

(16)
Below is an optimized crystal structure of Co2AgAs, with properties calculated at the PBE level.

Summary:
- ΔE_f (meV/atom) = 354
- D(E_F) (states/eV per cell) = 4.5
- space-group type = I-4m2, No. 119

Cell and atoms, written as extended XYZ:
```
4
Lattice="-1.8792 1.8792 3.9334 1.8792 -1.8792 3.9334 1.8792 1.8792 -3.9334" Properties=species:S:1:pos:R:3 pbc="T T T"
Co 0.0000 0.0000 0.0000
Co 0.0000 1.8792 1.9667
Ag 1.8792 0.0000 1.9667
As 0.0000 0.0000 3.9334
```

(17)
Below is an optimized crystal structure of LiDyLuMn, with properties calculated at the PBE level.

Summary:
- ΔE_f (meV/atom) = 108
- D(E_F) (states/eV per cell) = 3.6
- space-group type = F-43m, No. 216

Cell and atoms, written as extended XYZ:
```
4
Lattice="0.0000 3.5076 3.5076 3.5076 0.0000 3.5076 3.5076 3.5076 0.0000" Properties=species:S:1:pos:R:3 pbc="T T T"
Li 0.0000 0.0000 0.0000
Dy 5.2614 5.2614 5.2614
Lu 1.7538 1.7538 1.7538
Mn 3.5076 3.5076 3.5076
```

(18)
Below is an optimized crystal structure of NaCaAlIn, with properties calculated at the PBE level.

Summary:
- ΔE_f (meV/atom) = -84
- D(E_F) (states/eV per cell) = 1.6
- space-group type = F-43m, No. 216

Cell and atoms, written as extended XYZ:
```
4
Lattice="0.0000 3.6757 3.6757 3.6757 0.0000 3.6757 3.6757 3.6757 0.0000" Properties=species:S:1:pos:R:3 pbc="T T T"
Na 0.0000 0.0000 0.0000
Ca 1.8379 1.8379 1.8379
Al 3.6757 3.6757 3.6757
In 5.5136 5.5136 5.5136
```

(19)
Below is an optimized crystal structure of Ce2UPa, with properties calculated at the PBE level.

Summary:
- ΔE_f (meV/atom) = 171
- D(E_F) (states/eV per cell) = 10.4
- space-group type = P4/mmm, No. 123

Cell and atoms, written as extended XYZ:
```
4
Lattice="4.3376 0.0000 0.0000 0.0000 4.3376 0.0000 0.0000 0.0000 5.0953" Properties=species:S:1:pos:R:3 pbc="T T T"
Ce 0.0000 2.1688 0.0000
Ce 2.1688 0.0000 0.0000
U 0.0000 0.0000 2.5477
Pa 2.1688 2.1688 2.5477
```

(20)
Below is an optimized crystal structure of CuTcSe2, with properties calculated at the PBE level.

Summary:
- D(E_F) (states/eV per cell) = 3.8
- relative energy among the computed polymorphs (kJ/mol of formula units) = 188.9
- uncorrected formation energy (eV/atom) = 0.455
- space-group type = Cmmm, No. 65

Cell and atoms, written as extended XYZ:
```
4
Lattice="1.5792 -2.7722 0.0000 1.5792 2.7722 0.0000 0.0000 0.0000 7.9689" Properties=species:S:1:pos:R:3 pbc="T T T"
Cu 0.0000 0.0000 0.0000
Tc 0.0000 0.0000 3.9844
Se 1.5792 0.0000 2.0130
Se 1.5792 0.0000 5.9558
```